# 1
Compound: Pm12Nd2Sm5
Source: the Alexandria database
Functional: PBE
Structure: optimized geometry

Output
DFT total energy ... -4.64 eV per atom
Density of states at the Fermi level ... 30.36 states/eV per cell
ΔE_f ... 0.1001 eV per atom
Energy above the lowest structure with this stoichiometry ... 0.0000 eV per atom

a b c (Å): 10.241 9.603 11.488
angles (deg): 53.25 90.00 122.22
Positions (direct):
Pm (0.097, 0.195, 0.104)
Pm (0.050, 0.600, 0.801)
Pm (0.550, 0.600, 0.801)
Pm (0.147, 0.796, 0.401)
Pm (0.649, 0.796, 0.401)
Pm (0.397, 0.795, 0.905)
Pm (0.603, 0.205, 0.095)
Pm (0.853, 0.204, 0.599)
Pm (0.351, 0.204, 0.599)
Pm (0.950, 0.400, 0.199)
Pm (0.450, 0.400, 0.199)
Pm (0.903, 0.805, 0.896)
Nd (0.750, 0.000, 0.000)
Nd (0.250, 0.000, 0.000)
Sm (0.198, 0.395, 0.700)
Sm (0.299, 0.598, 0.298)
Sm (0.000, 0.000, 0.500)
Sm (0.701, 0.402, 0.702)
Sm (0.802, 0.605, 0.300)



# 2
Compound: Mg2Ni5B2Pt
Source: the Alexandria database
Functional: PBE
Structure: optimized geometry

Output
DFT total energy ... -5.48 eV per atom
Density of states at the Fermi level ... 9.24 states/eV per cell
ΔE_f ... -0.3348 eV per atom

a b c (Å): 2.945 8.851 8.851
angles (deg): 90.00 90.00 90.00
Positions (direct):
Mg (0.000, 0.679, 0.179)
Mg (0.000, 0.321, 0.821)
Mg (0.000, 0.179, 0.321)
Mg (0.000, 0.821, 0.679)
Ni (0.500, 0.231, 0.069)
Ni (0.500, 0.769, 0.931)
Ni (0.500, 0.069, 0.769)
Ni (0.500, 0.731, 0.431)
Ni (0.500, 0.931, 0.231)
Ni (0.500, 0.269, 0.569)
Ni (0.500, 0.569, 0.731)
Ni (0.500, 0.431, 0.269)
Ni (0.500, 0.500, 0.000)
Ni (0.500, 0.000, 0.500)
B (0.000, 0.119, 0.619)
B (0.000, 0.881, 0.381)
B (0.000, 0.619, 0.881)
B (0.000, 0.381, 0.119)
Pt (0.000, 0.000, 0.000)
Pt (0.000, 0.500, 0.500)



# 3
Compound: NaBiP4O12
Source: the Alexandria database
Functional: PBE
Structure: optimized geometry

Output
DFT total energy ... -6.87 eV per atom
Density of states at the Fermi level ... 0.00 states/eV per cell
Energy relative to the elements, uncorrected ... -2.073 eV per atom

a b c (Å): 7.295 9.997 13.340
angles (deg): 90.00 90.00 89.61
Positions (direct):
Na (0.499, 0.437, 0.223)
Na (0.001, 0.063, 0.723)
Na (0.501, 0.563, 0.777)
Na (0.999, 0.937, 0.277)
Bi (0.011, 0.522, 0.221)
Bi (0.489, 0.978, 0.721)
Bi (0.989, 0.478, 0.779)
Bi (0.511, 0.022, 0.279)
P (0.877, 0.234, 0.386)
P (0.145, 0.198, 0.128)
P (0.645, 0.698, 0.372)
P (0.855, 0.802, 0.872)
P (0.249, 0.760, 0.398)
P (0.251, 0.740, 0.898)
P (0.751, 0.240, 0.602)
P (0.749, 0.260, 0.102)
P (0.355, 0.302, 0.628)
P (0.623, 0.266, 0.886)
P (0.770, 0.796, 0.090)
P (0.377, 0.734, 0.114)
P (0.270, 0.296, 0.410)
P (0.230, 0.204, 0.910)
P (0.730, 0.704, 0.590)
P (0.123, 0.766, 0.614)
O (0.286, 0.360, 0.522)
O (0.214, 0.140, 0.022)
O (0.714, 0.640, 0.478)
O (0.786, 0.860, 0.978)
O (0.246, 0.413, 0.340)
O (0.254, 0.087, 0.840)
O (0.754, 0.587, 0.660)
O (0.746, 0.913, 0.160)
O (0.286, 0.395, 0.708)
O (0.214, 0.105, 0.208)
O (0.714, 0.605, 0.292)
O (0.786, 0.895, 0.792)
O (0.092, 0.708, 0.336)
O (0.408, 0.792, 0.836)
O (0.908, 0.292, 0.664)
O (0.592, 0.208, 0.164)
O (0.319, 0.155, 0.635)
O (0.806, 0.100, 0.353)
O (0.181, 0.345, 0.135)
O (0.819, 0.655, 0.865)
O (0.428, 0.202, 0.392)
O (0.072, 0.298, 0.892)
O (0.572, 0.798, 0.608)
O (0.928, 0.702, 0.108)
O (0.361, 0.849, 0.186)
O (0.139, 0.651, 0.686)
O (0.639, 0.151, 0.814)
O (0.861, 0.349, 0.314)
O (0.073, 0.829, 0.875)
O (0.427, 0.671, 0.375)
O (0.927, 0.171, 0.125)
O (0.573, 0.329, 0.625)
O (0.283, 0.784, 0.012)
O (0.217, 0.716, 0.512)
O (0.717, 0.216, 0.988)
O (0.783, 0.284, 0.488)
O (0.784, 0.408, 0.111)
O (0.716, 0.092, 0.611)
O (0.216, 0.592, 0.889)
O (0.284, 0.908, 0.389)
O (0.587, 0.708, 0.081)
O (0.913, 0.792, 0.581)
O (0.413, 0.292, 0.919)
O (0.087, 0.208, 0.419)
O (0.306, 0.600, 0.147)
O (0.194, 0.900, 0.647)
O (0.694, 0.400, 0.853)
O (0.681, 0.845, 0.365)



# 4
Compound: Cs2TaTc3O12
Source: the Alexandria database
Functional: PBE
Structure: optimized geometry

Output
DFT total energy ... -7.55 eV per atom
Density of states at the Fermi level ... 6.48 states/eV per cell
Energy relative to the elements, uncorrected ... -1.766 eV per atom

a b c (Å): 7.400 7.400 7.400
angles (deg): 59.17 59.17 59.17
Site moments in Bohr magnetons follow the coordinates.
Positions (direct):
Cs (0.624, 0.624, 0.624)  0.00
Cs (0.376, 0.376, 0.376)  0.00
Ta (0.000, 0.000, 0.000)  0.01
Tc (0.500, 0.000, 0.000)  0.81
Tc (0.000, 0.500, 0.000)  0.81
Tc (0.000, 0.000, 0.500)  0.81
O (0.307, 0.307, 0.935)  0.03
O (0.935, 0.935, 0.320)  0.11
O (0.320, 0.935, 0.935)  0.11
O (0.935, 0.307, 0.307)  0.03
O (0.935, 0.320, 0.935)  0.11
O (0.307, 0.935, 0.307)  0.03
O (0.693, 0.693, 0.065)  0.03
O (0.065, 0.065, 0.680)  0.11
O (0.680, 0.065, 0.065)  0.11
O (0.065, 0.693, 0.693)  0.03
O (0.065, 0.680, 0.065)  0.11
O (0.693, 0.065, 0.693)  0.03



# 5
Compound: CaAcLa2Pt4
Source: the Alexandria database
Functional: PBE
Structure: optimized geometry

Output
DFT total energy ... -6.08 eV per atom
Density of states at the Fermi level ... 4.12 states/eV per cell
ΔE_f ... -1.0628 eV per atom

a b c (Å): 6.025 6.025 7.373
angles (deg): 114.11 114.11 90.01
Positions (direct):
Ca (0.437, 0.437, 0.000)
Ac (0.937, 0.937, 0.000)
La (0.187, 0.687, 0.500)
La (0.687, 0.187, 0.500)
Pt (0.937, 0.437, 0.000)
Pt (0.437, 0.937, 0.000)
Pt (0.192, 0.192, 0.508)
Pt (0.683, 0.683, 0.492)



# 6
Compound: Tm2AuO
Source: the Alexandria database
Functional: PBE
Structure: optimized geometry

Output
DFT total energy ... -5.99 eV per atom
Density of states at the Fermi level ... 2.38 states/eV per cell
Energy relative to the elements, uncorrected ... -1.692 eV per atom

a b c (Å): 3.568 3.568 7.133
angles (deg): 75.51 75.51 60.00
Positions (direct):
Tm (0.767, 0.767, 0.698)
Tm (0.233, 0.233, 0.302)
Au (0.000, 0.000, 0.000)
O (0.500, 0.500, 0.500)



# 7
Compound: PmDy2IrO8
Source: the Alexandria database
Functional: PBE
Structure: optimized geometry

Output
DFT total energy ... -7.54 eV per atom
Density of states at the Fermi level ... 5.16 states/eV per cell
Energy relative to the elements, uncorrected ... -2.331 eV per atom

a b c (Å): 5.073 5.068 6.865
angles (deg): 90.00 90.00 89.93
Site moments in Bohr magnetons follow the coordinates.
Positions (direct):
Pm (0.000, 0.000, 0.500)  0.02
Dy (0.500, 0.500, 0.749)  0.03
Dy (0.500, 0.500, 0.251)  0.03
Ir (0.000, 0.000, 0.000)  0.89
O (0.184, 0.813, 0.205)  0.12
O (0.732, 0.734, 0.000)  0.06
O (0.816, 0.187, 0.205)  0.12
O (0.816, 0.187, 0.795)  0.12
O (0.268, 0.266, 0.000)  0.06
O (0.184, 0.813, 0.795)  0.12
O (0.685, 0.687, 0.500)  0.01
O (0.315, 0.313, 0.500)  0.01



# 8
Compound: ThAlFe2C
Source: the Alexandria database
Functional: PBE
Structure: optimized geometry

Output
DFT total energy ... -7.73 eV per atom
Density of states at the Fermi level ... 8.28 states/eV per cell
ΔE_f ... -0.2691 eV per atom

a b c (Å): 4.068 5.808 6.733
angles (deg): 90.00 90.00 110.50
Site moments in Bohr magnetons follow the coordinates.
Positions (direct):
Th (0.436, 0.872, 0.750)  -0.05
Th (0.564, 0.128, 0.250)  -0.05
Al (0.721, 0.442, 0.750)  -0.01
Al (0.279, 0.558, 0.250)  -0.01
Fe (0.159, 0.317, 0.931)  0.41
Fe (0.841, 0.683, 0.069)  0.41
Fe (0.159, 0.317, 0.569)  0.41
Fe (0.841, 0.683, 0.431)  0.41
C (0.000, 0.000, 0.000)  -0.03
C (0.000, 0.000, 0.500)  -0.03



# 9
Compound: RbPa2BO8
Source: the Alexandria database
Functional: PBE
Structure: optimized geometry

Output
DFT total energy ... -7.87 eV per atom
Density of states at the Fermi level ... 4.23 states/eV per cell
Energy relative to the elements, uncorrected ... -2.349 eV per atom

a b c (Å): 4.799 4.799 8.993
angles (deg): 90.00 90.00 120.00
Site moments in Bohr magnetons follow the coordinates.
Positions (direct):
Rb (0.000, 0.000, 0.500)  0.00
Pa (0.667, 0.333, 0.137)  -0.02
Pa (0.333, 0.667, 0.863)  -0.02
B (0.000, 0.000, 0.000)  -0.01
O (0.838, 0.676, 0.888)  0.17
O (0.324, 0.162, 0.888)  0.17
O (0.838, 0.162, 0.888)  0.17
O (0.162, 0.324, 0.112)  0.17
O (0.676, 0.838, 0.112)  0.17
O (0.162, 0.838, 0.112)  0.17
O (0.667, 0.333, 0.349)  0.01
O (0.333, 0.667, 0.651)  0.01



# 10
Compound: FeCuNiAu
Source: the Alexandria database
Functional: PBE
Structure: optimized geometry

Output
DFT total energy ... -5.28 eV per atom
Density of states at the Fermi level ... 3.58 states/eV per cell
ΔE_f ... 0.1252 eV per atom

a b c (Å): 4.240 4.240 4.240
angles (deg): 60.00 60.00 60.00
Site moments in Bohr magnetons follow the coordinates.
Positions (direct):
Ni (0.500, 0.500, 0.500)  0.54
Au (0.000, 0.000, 0.000)  0.06
Fe (0.750, 0.750, 0.750)  3.02
Cu (0.250, 0.250, 0.250)  0.04